# 1
The following is a GGA-PBE calculation of a relaxed structure of PmPr3Hg6, from Alexandria.

The structure belongs to space group P2_1/m (No. 11); the cell edges are 9.580, 5.267 and 11.414 Å and the angles 90.00°, 106.67° and 90.00°. The inequivalent atoms are Pm at (0.062, 0.250, 0.389), Pr at (0.224, 0.250, 0.009), Pr at (0.354, 0.750, 0.792), Pr at (0.492, 0.250, 0.615), Hg at (0.062, 0.750, 0.894), Hg at (0.138, 0.750, 0.197), Hg at (0.156, 0.250, 0.688), Hg at (0.237, 0.750, 0.504), Hg at (0.339, 0.250, 0.298) and Hg at (0.462, 0.750, 0.087).

The total magnetization comes out at 0.0 μB per cell. Its formation enthalpy at 0 K is -0.438 eV/atom.

# 2
The following is a GGA-PBE calculation of a relaxed structure of PmPrHg2, from Alexandria.

The structure belongs to space group P4/mmm (No. 123); the cell edges are 3.836, 3.836 and 7.695 Å and the angles 90.00°, 90.00° and 90.00°. The inequivalent atoms are Pm at (0.000, 0.000, 0.000), Pr at (0.000, 0.000, 0.500) and Hg at (0.500, 0.500, 0.242).

The total magnetization comes out at 0.9 μB per cell. As for the energy above the most stable polymorph in this dataset: 0.0000 eV/atom. Its formation enthalpy at 0 K is -0.474 eV/atom.

# 3
The following is a GGA-PBE calculation of a relaxed structure of PmPr3Hg3, from Alexandria.

The structure belongs to space group Cmmm (No. 65); the cell edges are 10.765, 10.928 and 7.408 Å and the angles 90.00°, 90.00° and 90.00°. The inequivalent atoms are Pm at (0.000, 0.249, 0.000), Pr at (0.000, 0.246, 0.500), Pr at (0.238, 0.000, 0.000), Pr at (0.243, 0.000, 0.500), Hg at (0.000, 0.500, 0.245) and Hg at (0.250, 0.250, 0.247).

The total magnetization comes out at 5.9 μB per cell. Its formation enthalpy at 0 K is -0.316 eV/atom.

# 4
The following is a GGA-PBE calculation of a relaxed structure of Pm2Pr2Hg, from Alexandria.

The structure belongs to space group C2/m (No. 12); the cell edges are 8.616, 9.627 and 8.574 Å and the angles 90.00°, 114.63° and 90.00°. The inequivalent atoms are Pm at (0.078, 0.187, 0.222), Pr at (0.159, 0.500, 0.923), Pr at (0.219, 0.000, 0.616) and Hg at (0.000, 0.337, 0.500).

The total magnetization comes out at 0.0 μB per cell. As for the energy above the most stable polymorph in this dataset: 0.0820 eV/atom. Its formation enthalpy at 0 K is -0.101 eV/atom.

# 5
The following is a GGA-PBE calculation of a relaxed structure of Pm5PrHg2, from Alexandria.

The structure belongs to space group Immm (No. 71); the cell edges are 3.791, 10.641 and 12.515 Å and the angles 90.00°, 90.00° and 90.00°. The inequivalent atoms are Pm at (0.000, 0.000, 0.000), Pm at (0.000, 0.280, 0.361), Pr at (0.000, 0.500, 0.000) and Hg at (0.000, 0.000, 0.268).

The total magnetization comes out at 0.0 μB per cell. Its formation enthalpy at 0 K is -0.170 eV/atom.

# 6
The following is a GGA-PBE calculation of a relaxed structure of Pm12Pr3Hg, from Alexandria.

The structure belongs to space group P4/mmm (No. 123); the cell edges are 5.097, 5.097 and 20.689 Å and the angles 90.00°, 90.00° and 90.00°. The inequivalent atoms are Pm at (0.000, 0.000, 0.000), Pm at (0.000, 0.000, 0.243), Pm at (0.000, 0.000, 0.500), Pm at (0.000, 0.500, 0.119), Pm at (0.000, 0.500, 0.373), Pr at (0.500, 0.500, 0.246), Pr at (0.500, 0.500, 0.500) and Hg at (0.500, 0.500, 0.000).

The total magnetization comes out at 0.0 μB per cell. Its formation enthalpy at 0 K is -0.019 eV/atom.

- formation enthalpy at 0 K of number 5 (Pm5PrHg2)?
  -0.170 eV/atom

- Number 4 is which compound?
  Pm2Pr2Hg

- The highest formation enthalpy at 0 K belongs to which entry?
  Pm12Pr3Hg

- Which formula does entry 4 have?
  Pm2Pr2Hg